[1]
First-principles (PBE+U) data for a relaxed structure of NdCrO3, as listed in Alexandria via LeMat-Bulk.

Output
SG   C2/c (15)
Total DFT energy (no corrections)   -8.1423 eV/atom

a = 5.540 Å, b = 5.540 Å, c = 9.624 Å
α = 106.62°, β = 106.62°, γ = 59.38°
Atoms (fractional coordinates):
Nd: 0.117 0.618 0.867
Nd: 0.382 0.883 0.633
Nd: 0.618 0.117 0.367
Nd: 0.883 0.382 0.133
Cr: 0.000 0.500 0.500
Cr: 0.250 0.750 0.250
Cr: 0.500 0.000 0.000
Cr: 0.750 0.250 0.750
O: 0.152 0.153 0.848
O: 0.153 0.152 0.348
O: 0.172 0.673 0.422
O: 0.327 0.828 0.078
O: 0.347 0.348 0.653
O: 0.348 0.347 0.153
O: 0.652 0.653 0.847
O: 0.653 0.652 0.347
O: 0.673 0.172 0.922
O: 0.828 0.327 0.578
O: 0.847 0.848 0.652
O: 0.848 0.847 0.152


[2]
First-principles (PBE+U) data for a relaxed structure of NdCr2O8, as listed in Alexandria via LeMat-Bulk.

Output
SG   I4/mmm (139)
Total DFT energy (no corrections)   -6.4772 eV/atom

a = 6.809 Å, b = 6.809 Å, c = 6.809 Å
α = 139.59°, β = 139.59°, γ = 58.48°
Atoms (fractional coordinates):
Nd: 0.000 0.000 0.000
Cr: 0.250 0.750 0.500
Cr: 0.750 0.250 0.500
O: 0.102 0.102 0.502
O: 0.102 0.600 0.000
O: 0.400 0.400 0.502
O: 0.400 0.898 0.000
O: 0.600 0.102 0.000
O: 0.600 0.600 0.498
O: 0.898 0.400 0.000
O: 0.898 0.898 0.498


[3]
First-principles (PBE+U) data for a relaxed structure of Nd2CrPO8, as listed in Alexandria via LeMat-Bulk.

Output
SG   P-3m1 (164)
Total DFT energy (no corrections)   -7.2210 eV/atom

a = 6.353 Å, b = 6.353 Å, c = 4.944 Å
α = 90.00°, β = 90.00°, γ = 120.00°
Atoms (fractional coordinates):
Nd: 0.333 0.667 0.220
Nd: 0.667 0.333 0.780
Cr: 0.000 0.000 0.500
P: 0.000 0.000 0.000
O: 0.124 0.249 0.209
O: 0.124 0.876 0.209
O: 0.249 0.124 0.791
O: 0.333 0.667 0.716
O: 0.667 0.333 0.284
O: 0.751 0.876 0.209
O: 0.876 0.124 0.791
O: 0.876 0.751 0.791


[4]
First-principles (PBE+U) data for a relaxed structure of NdCr2PO8, as listed in Alexandria via LeMat-Bulk.

Output
SG   C2/m (12)
Total DFT energy (no corrections)   -7.2876 eV/atom

a = 4.674 Å, b = 4.674 Å, c = 6.634 Å
α = 97.92°, β = 97.92°, γ = 76.71°
Atoms (fractional coordinates):
Nd: 0.000 0.000 0.000
Cr: 0.425 0.425 0.750
Cr: 0.575 0.575 0.250
P: 0.000 0.000 0.500
O: 0.201 0.779 0.304
O: 0.221 0.799 0.696
O: 0.227 0.227 0.534
O: 0.330 0.330 0.983
O: 0.670 0.670 0.017
O: 0.773 0.773 0.466
O: 0.779 0.201 0.304
O: 0.799 0.221 0.696


[5]
First-principles (PBE+U) data for a relaxed structure of NdPaCrO6, as listed in Alexandria via LeMat-Bulk.

Output
SG   P312 (149)
Total DFT energy (no corrections)   -8.4454 eV/atom

a = 5.459 Å, b = 5.459 Å, c = 4.811 Å
α = 90.00°, β = 90.00°, γ = 120.00°
Atoms (fractional coordinates):
Nd: 0.000 0.000 0.000
Pa: 0.667 0.333 0.500
Cr: 0.333 0.667 0.000
O: 0.022 0.385 0.237
O: 0.022 0.636 0.763
O: 0.364 0.385 0.763
O: 0.364 0.978 0.237
O: 0.615 0.636 0.237
O: 0.615 0.978 0.763


[6]
First-principles (PBE+U) data for a relaxed structure of NdPaCr2O8, as listed in Alexandria via LeMat-Bulk.

Output
SG   I-4m2 (119)
Total DFT energy (no corrections)   -8.2709 eV/atom

a = 6.068 Å, b = 6.068 Å, c = 6.068 Å
α = 106.75°, β = 106.75°, γ = 115.05°
Atoms (fractional coordinates):
Nd: 0.000 0.000 0.000
Pa: 0.250 0.750 0.500
Cr: 0.500 0.500 0.000
Cr: 0.750 0.250 0.500
O: 0.323 0.132 0.809
O: 0.323 0.514 0.191
O: 0.380 0.055 0.325
O: 0.486 0.677 0.809
O: 0.729 0.055 0.675
O: 0.868 0.677 0.191
O: 0.945 0.271 0.325
O: 0.945 0.620 0.675


[7]
First-principles (PBE+U) data for a relaxed structure of NdCr2PbO8, as listed in Alexandria via LeMat-Bulk.

Output
SG   P-3m1 (164)
Total DFT energy (no corrections)   -6.9340 eV/atom

a = 5.801 Å, b = 5.801 Å, c = 7.283 Å
α = 90.00°, β = 90.00°, γ = 120.00°
Atoms (fractional coordinates):
Nd: 0.000 0.000 0.000
Cr: 0.333 0.667 0.296
Cr: 0.667 0.333 0.704
Pb: 0.000 0.000 0.500
O: 0.171 0.343 0.221
O: 0.171 0.829 0.221
O: 0.333 0.667 0.520
O: 0.343 0.171 0.779
O: 0.657 0.829 0.221
O: 0.667 0.333 0.480
O: 0.829 0.171 0.779
O: 0.829 0.657 0.779


[8]
First-principles (PBE+U) data for a relaxed structure of PmNdCr2O8, as listed in Alexandria via LeMat-Bulk.

Output
SG   I-4m2 (119)
Total DFT energy (no corrections)   -7.6453 eV/atom

a = 6.146 Å, b = 6.146 Å, c = 6.146 Å
α = 105.87°, β = 105.87°, γ = 116.94°
Atoms (fractional coordinates):
Pm: 0.000 0.000 0.000
Nd: 0.750 0.250 0.500
Cr: 0.250 0.750 0.500
Cr: 0.500 0.500 0.000
O: 0.081 0.400 0.319
O: 0.081 0.763 0.681
O: 0.150 0.330 0.820
O: 0.237 0.919 0.319
O: 0.510 0.330 0.180
O: 0.600 0.919 0.681
O: 0.670 0.490 0.820
O: 0.670 0.850 0.180


[9]
First-principles (PBE+U) data for a relaxed structure of PrNdCr2O8, as listed in Alexandria via LeMat-Bulk.

Output
SG   I-4m2 (119)
Total DFT energy (no corrections)   -7.6361 eV/atom

a = 6.184 Å, b = 6.184 Å, c = 6.184 Å
α = 105.86°, β = 105.86°, γ = 116.97°
Atoms (fractional coordinates):
Pr: 0.000 0.000 0.000
Nd: 0.750 0.250 0.500
Cr: 0.250 0.750 0.500
Cr: 0.500 0.500 0.000
O: 0.081 0.402 0.321
O: 0.081 0.760 0.679
O: 0.152 0.333 0.819
O: 0.240 0.919 0.321
O: 0.513 0.333 0.181
O: 0.598 0.919 0.679
O: 0.667 0.487 0.819
O: 0.667 0.848 0.181


[10]
First-principles (PBE+U) data for a relaxed structure of Rb4Nd3CrO8, as listed in Alexandria via LeMat-Bulk.

Output
SG   R-3m (166)
Total DFT energy (no corrections)   -6.3365 eV/atom

a = 7.738 Å, b = 7.738 Å, c = 7.738 Å
α = 54.62°, β = 54.62°, γ = 54.62°
Atoms (fractional coordinates):
Rb: 0.000 0.000 0.000
Rb: 0.000 0.500 0.500
Rb: 0.500 0.000 0.500
Rb: 0.500 0.500 0.000
Nd: 0.000 0.000 0.500
Nd: 0.000 0.500 0.000
Nd: 0.500 0.000 0.000
Cr: 0.500 0.500 0.500
O: 0.228 0.228 0.228
O: 0.251 0.712 0.712
O: 0.288 0.288 0.749
O: 0.288 0.749 0.288
O: 0.712 0.251 0.712
O: 0.712 0.712 0.251
O: 0.749 0.288 0.288
O: 0.772 0.772 0.772


[11]
First-principles (PBE+U) data for a relaxed structure of Rb3Nd3CrO8, as listed in Alexandria via LeMat-Bulk.

Output
SG   C2/m (12)
Total DFT energy (no corrections)   -6.6048 eV/atom

a = 7.031 Å, b = 7.031 Å, c = 7.753 Å
α = 116.81°, β = 116.81°, γ = 59.44°
Atoms (fractional coordinates):
Rb: 0.000 0.000 0.000
Rb: 0.000 0.500 0.000
Rb: 0.500 0.000 0.000
Nd: 0.000 0.500 0.500
Nd: 0.500 0.000 0.500
Nd: 0.500 0.500 0.500
Cr: 0.000 0.000 0.500
O: 0.195 0.770 0.660
O: 0.204 0.204 0.666
O: 0.230 0.805 0.340
O: 0.275 0.275 0.319
O: 0.725 0.725 0.681
O: 0.770 0.195 0.660
O: 0.796 0.796 0.334
O: 0.805 0.230 0.340


[12]
First-principles (PBE+U) data for a relaxed structure of RbNdCrO4, as listed in Alexandria via LeMat-Bulk.

Output
SG   P2_1/m (11)
Total DFT energy (no corrections)   -6.9545 eV/atom

a = 6.005 Å, b = 5.976 Å, c = 7.752 Å
α = 90.00°, β = 107.60°, γ = 90.00°
Atoms (fractional coordinates):
Rb: 0.194 0.250 0.428
Rb: 0.806 0.750 0.572
Nd: 0.296 0.250 0.956
Nd: 0.704 0.750 0.044
Cr: 0.246 0.750 0.166
Cr: 0.754 0.250 0.834
O: 0.052 0.750 0.943
O: 0.056 0.750 0.303
O: 0.456 0.523 0.179
O: 0.456 0.977 0.179
O: 0.544 0.023 0.821
O: 0.544 0.477 0.821
O: 0.944 0.250 0.697
O: 0.948 0.250 0.057


[13]
First-principles (PBE+U) data for a relaxed structure of NdCr2ReO8, as listed in Alexandria via LeMat-Bulk.

Output
SG   Cmmm (65)
Total DFT energy (no corrections)   -7.9743 eV/atom

a = 4.760 Å, b = 4.760 Å, c = 6.520 Å
α = 90.00°, β = 90.00°, γ = 91.41°
Atoms (fractional coordinates):
Nd: 0.000 0.000 0.000
Cr: 0.500 0.500 0.248
Cr: 0.500 0.500 0.752
Re: 0.000 0.000 0.500
O: 0.200 0.200 0.295
O: 0.200 0.200 0.705
O: 0.286 0.714 0.500
O: 0.329 0.671 0.000
O: 0.671 0.329 0.000
O: 0.714 0.286 0.500
O: 0.800 0.800 0.295
O: 0.800 0.800 0.705


[14]
First-principles (PBE+U) data for a relaxed structure of NdCrSbO6, as listed in Alexandria via LeMat-Bulk.

Output
SG   P-31c (163)
Total DFT energy (no corrections)   -7.2055 eV/atom

a = 5.211 Å, b = 5.211 Å, c = 10.244 Å
α = 90.00°, β = 90.00°, γ = 120.00°
Atoms (fractional coordinates):
Nd: 0.000 0.000 0.000
Nd: 0.000 0.000 0.500
Cr: 0.333 0.667 0.250
Cr: 0.667 0.333 0.750
Sb: 0.333 0.667 0.750
Sb: 0.667 0.333 0.250
O: 0.009 0.370 0.144
O: 0.009 0.638 0.356
O: 0.362 0.370 0.356
O: 0.362 0.991 0.144
O: 0.370 0.009 0.644
O: 0.370 0.362 0.856
O: 0.630 0.638 0.144
O: 0.630 0.991 0.356
O: 0.638 0.009 0.856
O: 0.638 0.630 0.644
O: 0.991 0.362 0.644
O: 0.991 0.630 0.856


[15]
First-principles (PBE+U) data for a relaxed structure of NdCr2SbO8, as listed in Alexandria via LeMat-Bulk.

Output
SG   C2/m (12)
Total DFT energy (no corrections)   -7.0915 eV/atom

a = 4.812 Å, b = 4.812 Å, c = 6.944 Å
α = 96.87°, β = 96.87°, γ = 79.95°
Atoms (fractional coordinates):
Nd: 0.000 0.000 0.000
Cr: 0.440 0.440 0.770
Cr: 0.560 0.560 0.230
Sb: 0.000 0.000 0.500
O: 0.209 0.770 0.276
O: 0.230 0.791 0.724
O: 0.266 0.266 0.543
O: 0.330 0.330 0.984
O: 0.670 0.670 0.016
O: 0.734 0.734 0.457
O: 0.770 0.209 0.276
O: 0.791 0.230 0.724


[16]
First-principles (PBE+U) data for a relaxed structure of Nd2ScCrO6, as listed in Alexandria via LeMat-Bulk.

Output
SG   P2_1/c (14)
Total DFT energy (no corrections)   -8.4183 eV/atom

a = 5.539 Å, b = 5.739 Å, c = 9.658 Å
α = 90.00°, β = 124.71°, γ = 90.00°
Atoms (fractional coordinates):
Nd: 0.235 0.055 0.250
Nd: 0.235 0.445 0.750
Nd: 0.765 0.555 0.250
Nd: 0.765 0.945 0.750
Sc: 0.500 0.000 0.000
Sc: 0.500 0.500 0.500
Cr: 0.000 0.000 0.500
Cr: 0.000 0.500 0.000
O: 0.144 0.208 0.947
O: 0.144 0.292 0.447
O: 0.241 0.700 0.948
O: 0.241 0.800 0.448
O: 0.344 0.033 0.745
O: 0.344 0.467 0.245
O: 0.656 0.533 0.755
O: 0.656 0.967 0.255
O: 0.759 0.200 0.552
O: 0.759 0.300 0.052
O: 0.856 0.708 0.553
O: 0.856 0.792 0.053


[17]
First-principles (PBE+U) data for a relaxed structure of NdScCr2O8, as listed in Alexandria via LeMat-Bulk.

Output
SG   I-4m2 (119)
Total DFT energy (no corrections)   -7.6756 eV/atom

a = 5.973 Å, b = 5.973 Å, c = 5.973 Å
α = 105.88°, β = 105.88°, γ = 116.91°
Atoms (fractional coordinates):
Nd: 0.000 0.000 0.000
Sc: 0.250 0.750 0.500
Cr: 0.500 0.500 0.000
Cr: 0.750 0.250 0.500
O: 0.332 0.141 0.808
O: 0.332 0.524 0.192
O: 0.389 0.065 0.323
O: 0.476 0.668 0.808
O: 0.742 0.065 0.677
O: 0.859 0.668 0.192
O: 0.935 0.258 0.323
O: 0.935 0.611 0.677


[18]
First-principles (PBE+U) data for a relaxed structure of NdCrSeO2, as listed in Alexandria via LeMat-Bulk.

Output
SG   Cmcm (63)
Total DFT energy (no corrections)   -7.1058 eV/atom

a = 6.647 Å, b = 6.647 Å, c = 5.386 Å
α = 90.00°, β = 90.00°, γ = 132.05°
Atoms (fractional coordinates):
Nd: 0.118 0.882 0.750
Nd: 0.882 0.118 0.250
Cr: 0.450 0.550 0.750
Cr: 0.550 0.450 0.250
Se: 0.245 0.755 0.250
Se: 0.755 0.245 0.750
O: 0.259 0.259 0.000
O: 0.259 0.259 0.500
O: 0.741 0.741 0.000
O: 0.741 0.741 0.500


[19]
First-principles (PBE+U) data for a relaxed structure of SrNdCrSnO6, as listed in Alexandria via LeMat-Bulk.

Output
SG   F-43m (216)
Total DFT energy (no corrections)   -7.1119 eV/atom

a = 5.666 Å, b = 5.666 Å, c = 5.666 Å
α = 60.00°, β = 60.00°, γ = 60.00°
Atoms (fractional coordinates):
Sr: 0.000 0.000 0.000
Nd: 0.500 0.500 0.500
Cr: 0.750 0.750 0.750
Sn: 0.250 0.250 0.250
O: 0.503 0.503 0.997
O: 0.503 0.997 0.503
O: 0.503 0.997 0.997
O: 0.997 0.503 0.503
O: 0.997 0.503 0.997
O: 0.997 0.997 0.503